CaTaAlO5: optimized geometry, PBE.

Structure (POSCAR):
```
CaTaAlO5
1.0
-1.753 1.813 -5.056
-4.581 -2.110 2.546
-4.240 5.958 1.497
Ta O Al Ca
2 10 2 2
direct
0.000 0.000 0.000
0.000 0.000 0.500
0.927 0.073 0.750
0.749 0.635 0.090
0.073 0.927 0.250
0.365 0.251 0.410
0.635 0.749 0.590
0.694 0.104 0.111
0.896 0.306 0.389
0.306 0.896 0.889
0.251 0.365 0.910
0.104 0.694 0.611
0.317 0.683 0.750
0.683 0.317 0.250
0.331 0.669 0.250
0.669 0.331 0.750
```

Results
**DFT total energy**: -8.349 eV per atom
**E_form (uncorrected)**: -294.3 kJ/mol of atoms
**Space group**: C2/c
**Mass density**: 5.2 g/cm3
**Fermi-level density of states**: 0.000 states/eV/atom
**Total moment**: 0.00 μB/atom



CaAlTc2O8: optimized geometry, PBE.

Structure (POSCAR):
```
CaAlTc2O8
1.0
5.638 0.000 0.000
-2.819 4.883 0.000
0.000 0.000 6.323
Tc O Ca Al
2 8 1 1
direct
0.333 0.667 0.762
0.667 0.333 0.238
0.303 0.153 0.311
0.697 0.847 0.689
0.667 0.333 0.960
0.847 0.151 0.311
0.333 0.667 0.040
0.151 0.303 0.689
0.153 0.849 0.689
0.849 0.697 0.311
0.000 0.000 0.000
0.000 0.000 0.500
```

Results
**DFT total energy**: -7.365 eV per atom
**E_form (uncorrected)**: -178.8 kJ/mol of atoms
**Space group**: P-3
**Mass density**: 3.7 g/cm3
**Fermi-level density of states**: 0.573 states/eV/atom
**Total moment**: 0.25 μB/atom



CaAlTcO5: optimized geometry, PBE.

Structure (POSCAR):
```
CaAlTcO5
1.0
5.623 0.044 -0.075
-1.600 5.391 -0.075
-1.761 -2.379 6.687
Tc O Ca Al
2 10 2 2
direct
0.000 0.000 0.000
0.000 0.000 0.500
0.689 0.102 0.393
0.751 0.635 0.412
0.933 0.067 0.750
0.067 0.933 0.250
0.102 0.689 0.893
0.311 0.898 0.607
0.365 0.249 0.088
0.898 0.311 0.107
0.249 0.365 0.588
0.635 0.751 0.912
0.331 0.669 0.250
0.669 0.331 0.750
0.687 0.313 0.250
0.313 0.687 0.750
```

Results
**DFT total energy**: -7.425 eV per atom
**E_form (uncorrected)**: -223.1 kJ/mol of atoms
**Space group**: C2/c
**Mass density**: 4.0 g/cm3
**Fermi-level density of states**: 0.351 states/eV/atom
**Total moment**: 0.25 μB/atom



CaAlTcO6: optimized geometry, PBE.

Structure (POSCAR):
```
CaAlTcO6
1.0
5.045 0.000 0.000
-2.523 4.369 0.000
0.000 0.000 10.132
Ca O Tc Al
2 12 2 2
direct
0.000 0.000 0.500
0.000 0.000 0.000
0.623 0.624 0.146
0.624 0.623 0.646
0.376 0.999 0.146
0.999 0.376 0.646
0.001 0.377 0.146
0.999 0.623 0.854
0.377 0.001 0.646
0.377 0.376 0.854
0.001 0.624 0.354
0.376 0.377 0.354
0.623 0.999 0.354
0.624 0.001 0.854
0.667 0.333 0.750
0.333 0.667 0.250
0.333 0.667 0.750
0.667 0.333 0.250
```

Results
**DFT total energy**: -7.231 eV per atom
**E_form (uncorrected)**: -206.0 kJ/mol of atoms
**Space group**: P-31c
**Mass density**: 3.9 g/cm3
**Total moment**: 0.00 μB/atom